Model a:
## LuNiSnPd (GGA-PBE)

Data for crystalline LuNiSnPd at its relaxed geometry.

a b c (Å): 4.646 4.646 4.646
angles (deg): 60.00 60.00 60.00
Fractional positions:
Pd1 0.250 0.250 0.250
Ni1 0.750 0.750 0.750
Sn1 0.000 0.000 0.000
Lu1 0.500 0.500 0.500

* M_tot: 0.0008 μB per atom
* calculated volume: 70.9 Å³/cell

***

Model b:
## LuNiSnPd (GGA-PBE)

Data for crystalline LuNiSnPd at its relaxed geometry.

a b c (Å): 4.688 4.688 4.688
angles (deg): 60.00 60.00 60.00
Fractional positions:
Lu1 0.250 0.250 0.250
Sn1 0.000 0.000 0.000
Ni1 0.750 0.750 0.750
Pd1 0.500 0.500 0.500

* M_tot: 0.0003 μB per atom
* calculated volume: 72.8 Å³/cell

***

Stability, lowest: model b

***

Model a:
## LuTlNiPd (GGA-PBE)

Data for crystalline LuTlNiPd at its relaxed geometry.

a b c (Å): 4.691 4.691 4.691
angles (deg): 60.00 60.00 60.00
Fractional positions:
Pd1 0.250 0.250 0.250
Tl1 0.000 0.000 0.000
Lu1 0.500 0.500 0.500
Ni1 0.750 0.750 0.750

* M_tot: 0.0003 μB per atom
* calculated volume: 73.0 Å³/cell

***

Model b:
## LuTlNiPd (GGA-PBE)

Data for crystalline LuTlNiPd at its relaxed geometry.

a b c (Å): 4.730 4.730 4.730
angles (deg): 60.00 60.00 60.00
Fractional positions:
Tl1 0.000 0.000 0.000
Ni1 0.750 0.750 0.750
Lu1 0.250 0.250 0.250
Pd1 0.500 0.500 0.500

* M_tot: 0.0022 μB per atom
* calculated volume: 74.8 Å³/cell

***

Stability, lowest: model b

***

Model a:
## LuSiNiPt (GGA-PBE)

Data for crystalline LuSiNiPt at its relaxed geometry.

a b c (Å): 4.515 4.515 4.515
angles (deg): 60.00 60.00 60.00
Fractional positions:
Ni1 0.750 0.750 0.750
Pt1 0.500 0.500 0.500
Lu1 0.250 0.250 0.250
Si1 0.000 0.000 0.000

* M_tot: 0.0021 μB per atom
* calculated volume: 65.1 Å³/cell

***

Model b:
## LuSiNiPt (GGA-PBE)

Data for crystalline LuSiNiPt at its relaxed geometry.

a b c (Å): 4.463 4.463 4.463
angles (deg): 60.00 60.00 60.00
Fractional positions:
Ni1 0.750 0.750 0.750
Lu1 0.500 0.500 0.500
Pt1 0.250 0.250 0.250
Si1 0.000 0.000 0.000

* M_tot: 0.0004 μB per atom
* calculated volume: 62.9 Å³/cell

***

Stability, lowest: model a

***

Model a:
## LuNiSnPt (GGA-PBE)

Data for crystalline LuNiSnPt at its relaxed geometry.

a b c (Å): 4.436 4.436 8.749
angles (deg): 90.00 90.00 120.00
Fractional positions:
Lu1 0.667 0.333 0.500
Lu2 0.000 0.000 0.000
Pt1 0.667 0.333 0.165
Pt2 0.667 0.333 0.835
Ni1 0.000 0.000 0.657
Ni2 0.000 0.000 0.343
Sn1 0.333 0.667 0.270
Sn2 0.333 0.667 0.730

* M_tot: 0.0001 μB per atom
* calculated volume: 149.1 Å³/cell

***

Model b:
## LuNiSnPt (GGA-PBE)

Data for crystalline LuNiSnPt at its relaxed geometry.

a b c (Å): 4.447 4.447 8.668
angles (deg): 90.00 90.00 120.00
Fractional positions:
Ni1 0.667 0.333 0.916
Ni2 0.333 0.667 0.416
Sn1 0.000 0.000 0.990
Sn2 0.000 0.000 0.490
Pt1 0.333 0.667 0.095
Pt2 0.667 0.333 0.595
Lu1 0.333 0.667 0.750
Lu2 0.667 0.333 0.250

* M_tot: 0.0007 μB per atom
* calculated volume: 148.5 Å³/cell

***

Model c:
## LuNiSnPt (GGA-PBE)

Data for crystalline LuNiSnPt at its relaxed geometry.

a b c (Å): 4.701 4.701 4.701
angles (deg): 60.00 60.00 60.00
Fractional positions:
Pt1 0.500 0.500 0.500
Sn1 0.000 0.000 0.000
Lu1 0.250 0.250 0.250
Ni1 0.750 0.750 0.750

* M_tot: 0.0010 μB per atom
* calculated volume: 73.5 Å³/cell

***

Stability, lowest: model c

***

Model a:
## RbLuNi (GGA-PBE)

Data for crystalline RbLuNi at its relaxed geometry.

a b c (Å): 5.025 5.025 5.025
angles (deg): 60.00 60.00 60.00
Fractional positions:
Lu1 0.250 0.250 0.250
Ni1 0.750 0.750 0.750
Rb1 0.000 0.000 0.000

* M_tot: 0.0001 μB per atom
* calculated volume: 89.7 Å³/cell

***

Model b:
## RbLuNi (GGA-PBE)

Data for crystalline RbLuNi at its relaxed geometry.

a b c (Å): 5.006 5.006 5.006
angles (deg): 60.00 60.00 60.00
Fractional positions:
Lu1 0.250 0.250 0.250
Rb1 0.750 0.750 0.750
Ni1 0.000 0.000 0.000

* M_tot: 0.0003 μB per atom
* calculated volume: 88.7 Å³/cell

***

Stability, lowest: model a

***

Model a:
## LuTcNiSb (GGA-PBE)

Data for crystalline LuTcNiSb at its relaxed geometry.

a b c (Å): 4.587 4.587 4.587
angles (deg): 60.00 60.00 60.00
Fractional positions:
Ni1 0.750 0.750 0.750
Tc1 0.250 0.250 0.250
Lu1 0.500 0.500 0.500
Sb1 0.000 0.000 0.000

* M_tot: 0.0374 μB per atom
* calculated volume: 68.3 Å³/cell

***

Model b:
## LuTcNiSb (GGA-PBE)

Data for crystalline LuTcNiSb at its relaxed geometry.

a b c (Å): 4.701 4.701 4.701
angles (deg): 60.00 60.00 60.00
Fractional positions:
Lu1 0.250 0.250 0.250
Tc1 0.500 0.500 0.500
Sb1 0.000 0.000 0.000
Ni1 0.750 0.750 0.750

* M_tot: 0.4831 μB per atom
* calculated volume: 73.4 Å³/cell

***

Stability, lowest: model b

***

Model a:
## LuTlTcNi (GGA-PBE)

Data for crystalline LuTlTcNi at its relaxed geometry.

a b c (Å): 4.658 4.658 4.658
angles (deg): 60.00 60.00 60.00
Fractional positions:
Tc1 0.250 0.250 0.250
Tl1 0.000 0.000 0.000
Ni1 0.750 0.750 0.750
Lu1 0.500 0.500 0.500

* M_tot: 0.1177 μB per atom
* calculated volume: 71.4 Å³/cell

***

Model b:
## LuTlTcNi (GGA-PBE)

Data for crystalline LuTlTcNi at its relaxed geometry.

a b c (Å): 4.719 4.719 4.719
angles (deg): 60.00 60.00 60.00
Fractional positions:
Tc1 0.500 0.500 0.500
Ni1 0.750 0.750 0.750
Tl1 0.000 0.000 0.000
Lu1 0.250 0.250 0.250

* M_tot: 0.4492 μB per atom
* calculated volume: 74.3 Å³/cell

***

Stability, lowest: model b

***

Model a:
## LuZnTcNi (GGA-PBE)

Data for crystalline LuZnTcNi at its relaxed geometry.

a b c (Å): 4.503 4.503 4.503
angles (deg): 60.00 60.00 60.00
Fractional positions:
Zn1 0.000 0.000 0.000
Ni1 0.750 0.750 0.750
Lu1 0.250 0.250 0.250
Tc1 0.500 0.500 0.500

* M_tot: 0.5068 μB per atom
* calculated volume: 64.6 Å³/cell

***

Model b:
## LuZnTcNi (GGA-PBE)

Data for crystalline LuZnTcNi at its relaxed geometry.

a b c (Å): 4.466 4.466 4.466
angles (deg): 60.00 60.00 60.00
Fractional positions:
Tc1 0.250 0.250 0.250
Zn1 0.000 0.000 0.000
Ni1 0.750 0.750 0.750
Lu1 0.500 0.500 0.500

* M_tot: 0.0037 μB per atom
* calculated volume: 63.0 Å³/cell

***

Stability, lowest: model a

***

Model a:
## LuTlNiTe3 (GGA-PBE)

Data for crystalline LuTlNiTe3 at its relaxed geometry.

a b c (Å): 10.820 4.121 15.808
angles (deg): 90.00 90.00 90.00
Fractional positions:
Te1 0.065 0.750 0.877
Te2 0.741 0.250 0.827
Te3 0.085 0.250 0.381
Te4 0.759 0.750 0.327
Te5 0.585 0.250 0.119
Te6 0.259 0.750 0.173
Te7 0.241 0.250 0.673
Te8 0.935 0.250 0.123
Te9 0.565 0.750 0.623
Te10 0.915 0.750 0.619
Te11 0.435 0.250 0.377
Te12 0.415 0.750 0.881
Tl1 0.234 0.250 0.001
Tl2 0.734 0.250 0.499
Tl3 0.266 0.750 0.501
Tl4 0.766 0.750 0.999
Ni1 0.742 0.750 0.729
Ni2 0.258 0.250 0.271
Ni3 0.758 0.250 0.229
Ni4 0.242 0.750 0.771
Lu1 0.490 0.250 0.752
Lu2 0.010 0.750 0.252
Lu3 0.510 0.750 0.248
Lu4 0.990 0.250 0.748

* M_tot: 0.0006 μB per atom
* calculated volume: 704.8 Å³/cell

***

Model b:
## LuTlNiTe3 (GGA-PBE)

Data for crystalline LuTlNiTe3 at its relaxed geometry.

a b c (Å): 8.977 4.119 10.939
angles (deg): 90.00 113.26 90.00
Fractional positions:
Ni1 0.407 0.750 0.890
Ni2 0.593 0.250 0.110
Te1 0.941 0.750 0.645
Te2 0.704 0.750 0.043
Te3 0.557 0.250 0.329
Te4 0.296 0.250 0.957
Te5 0.443 0.750 0.671
Te6 0.059 0.250 0.355
Lu1 0.809 0.750 0.349
Lu2 0.191 0.250 0.651
Tl1 0.773 0.250 0.803
Tl2 0.227 0.750 0.197

* M_tot: 0.0021 μB per atom
* calculated volume: 371.6 Å³/cell

***

Model c:
## LuTlNiTe3 (GGA-PBE)

Data for crystalline LuTlNiTe3 at its relaxed geometry.

a b c (Å): 9.012 9.012 9.588
angles (deg): 102.79 102.79 27.72
Fractional positions:
Te1 0.652 0.652 0.855
Te2 0.500 0.500 0.500
Te3 0.348 0.348 0.145
Te4 0.648 0.648 0.286
Te5 0.000 0.000 0.000
Te6 0.352 0.352 0.714
Ni1 0.500 0.500 0.819
Ni2 0.500 0.500 0.181
Tl1 0.144 0.144 0.564
Tl2 0.856 0.856 0.436
Lu1 0.827 0.827 0.915
Lu2 0.173 0.173 0.085

* M_tot: 0.0001 μB per atom
* calculated volume: 352.7 Å³/cell

***

Model d:
## LuTlNiTe3 (GGA-PBE)

Data for crystalline LuTlNiTe3 at its relaxed geometry.

a b c (Å): 16.125 4.143 11.080
angles (deg): 90.00 90.00 90.00
Fractional positions:
Te1 0.604 0.750 0.420
Te2 0.396 0.250 0.580
Te3 0.422 0.750 0.901
Te4 0.860 0.750 0.259
Te5 0.140 0.250 0.741
Te6 0.640 0.250 0.759
Te7 0.578 0.250 0.099
Te8 0.078 0.250 0.401
Te9 0.104 0.750 0.080
Te10 0.360 0.750 0.241
Te11 0.896 0.250 0.920
Te12 0.922 0.750 0.599
Ni1 0.989 0.750 0.392
Ni2 0.489 0.750 0.108
Ni3 0.511 0.250 0.892
Ni4 0.011 0.250 0.608
Tl1 0.734 0.750 0.974
Tl2 0.234 0.750 0.526
Tl3 0.266 0.250 0.026
Tl4 0.766 0.250 0.474
Lu1 0.479 0.250 0.339
Lu2 0.521 0.750 0.661
Lu3 0.979 0.250 0.161
Lu4 0.021 0.750 0.839

* M_tot: 0.0004 μB per atom
* calculated volume: 740.3 Å³/cell

***

Stability, lowest: model c

***

Model a:
## Y4Tm2LuNi2Te2 (GGA-PBE)

Data for crystalline Y4Tm2LuNi2Te2 at its relaxed geometry.

a b c (Å): 9.341 9.341 9.341
angles (deg): 156.25 67.07 118.32
Fractional positions:
Ni1 0.164 0.404 0.760
Ni2 0.645 0.404 0.240
Y1 0.392 0.747 0.645
Y2 0.414 0.098 0.316
Y3 0.101 0.747 0.355
Y4 0.782 0.098 0.684
Tm1 0.028 0.895 0.133
Tm2 0.762 0.895 0.867
Lu1 0.477 0.477 0.000
Te1 0.139 0.139 0.000
Te2 0.743 0.243 0.500

* M_tot: 0.0024 μB per atom
* calculated volume: 286.7 Å³/cell

***

Model b:
## Y4Tm2LuNi2Te2 (GGA-PBE)

Data for crystalline Y4Tm2LuNi2Te2 at its relaxed geometry.

a b c (Å): 9.323 9.323 9.323
angles (deg): 156.21 67.00 118.40
Fractional positions:
Y1 0.026 0.894 0.131
Y2 0.763 0.894 0.869
Y3 0.393 0.747 0.646
Y4 0.101 0.747 0.354
Tm1 0.780 0.095 0.685
Tm2 0.411 0.095 0.315
Ni1 0.645 0.407 0.237
Ni2 0.170 0.407 0.763
Te1 0.738 0.238 0.500
Te2 0.142 0.142 0.000
Lu1 0.477 0.477 0.000

* M_tot: 0.0026 μB per atom
* calculated volume: 285.2 Å³/cell

***

Stability, lowest: model a